Entry 1:
{"formula": "BOs2Pb", "functional": "PBE-GGA", "state": "optimized geometry", "lattice_angstrom": [[4.718, 0.000, 0.000], [0.000, 4.718, 0.000], [2.359, 2.359, 6.880]], "species": ["Os", "Os", "Os", "Os", "Pb", "Pb", "B", "B"], "fractional_positions": [[0.292, 0.625, 0.250], [0.375, 0.542, 0.750], [0.875, 0.708, 0.750], [0.458, 0.125, 0.250], [0.750, 0.250, 0.500], [0.000, 0.000, 0.000], [0.500, 0.500, 0.000], [0.250, 0.750, 0.500]], "dft_energy_ev_per_atom": -7.3180, "total_magnetization_mub_per_fu": 0.00, "ef_mev_per_atom": 893, "e_above_lowest_polymorph_mev_per_atom": 0}

***

Entry 2:
{"formula": "LiCaZr2", "functional": "PBE-GGA", "state": "optimized geometry", "lattice_angstrom": [[-3.140, 0.184, 0.880], [-0.898, -0.457, -3.108], [-1.051, -10.046, -1.651]], "species": ["Zr", "Zr", "Li", "Ca"], "fractional_positions": [[0.500, 0.285, 0.215], [0.000, 0.995, 0.005], [0.500, 0.728, 0.772], [0.000, 0.492, 0.508]], "dft_energy_ev_per_atom": -5.0821, "total_magnetization_mub_per_fu": 0.00, "ef_mev_per_atom": 171, "e_above_lowest_polymorph_mev_per_atom": 0}

***

Entry 3:
{"formula": "NdEr2Te", "functional": "PBE-GGA", "state": "optimized geometry", "lattice_angstrom": [[3.873, 0.000, 0.000], [1.936, 3.354, 0.000], [1.936, 1.118, 9.902]], "species": ["Er", "Er", "Nd", "Te"], "fractional_positions": [[0.263, 0.263, 0.212], [0.071, 0.071, 0.788], [0.500, 0.500, 0.501], [0.667, 0.667, 0.000]], "dft_energy_ev_per_atom": -4.7739, "total_magnetization_mub_per_fu": 0.00, "e_form_raw_ev_per_atom": -0.5151, "e_above_lowest_polymorph_mev_per_atom": 133}

***

What did the first record say?
{"formula": "BOs2Pb", "functional": "PBE-GGA", "state": "optimized geometry", "lattice_angstrom": [[4.718, 0.000, 0.000], [0.000, 4.718, 0.000], [2.359, 2.359, 6.880]], "species": ["Os", "Os", "Os", "Os", "Pb", "Pb", "B", "B"], "fractional_positions": [[0.292, 0.625, 0.250], [0.375, 0.542, 0.750], [0.875, 0.708, 0.750], [0.458, 0.125, 0.250], [0.750, 0.250, 0.500], [0.000, 0.000, 0.000], [0.500, 0.500, 0.000], [0.250, 0.750, 0.500]], "dft_energy_ev_per_atom": -7.3180, "total_magnetization_mub_per_fu": 0.00, "ef_mev_per_atom": 893, "e_above_lowest_polymorph_mev_per_atom": 0}